The following is a DFT calculation (PBE) of a relaxed structure of Pr3ZnRh2.

Cell: 4.080 12.083 12.118 Å, 90.00 90.00 90.00°
Fractional coordinates of all 24 atoms:
Rh 0.750 0.193 0.011
Rh 0.250 0.693 0.489
Rh 0.250 0.011 0.314
Rh 0.750 0.989 0.686
Rh 0.750 0.511 0.186
Rh 0.250 0.489 0.814
Rh 0.750 0.307 0.511
Rh 0.250 0.807 0.989
Pr 0.250 0.072 0.870
Pr 0.750 0.928 0.130
Pr 0.750 0.572 0.630
Pr 0.250 0.680 0.201
Pr 0.250 0.375 0.058
Pr 0.750 0.180 0.299
Pr 0.250 0.820 0.701
Pr 0.750 0.625 0.942
Pr 0.750 0.320 0.799
Pr 0.250 0.428 0.370
Pr 0.250 0.125 0.558
Pr 0.750 0.875 0.442
Zn 0.750 0.877 0.878
Zn 0.250 0.123 0.122
Zn 0.250 0.377 0.622
Zn 0.750 0.623 0.378

Properties
- calculated formation energy (meV per atom) = -553
- E_tot (eV per cell) = -134.537
- space-group type = Pnma, No. 62